This record from Alexandria describes NiH2Se after structural relaxation. The functional is PBE.

Lattice parameters (Å, degrees): 3.8683 3.8611 6.6185 90.00 90.00 120.04
Positions (direct):
Ni 0.5631 0.3335 0.0000
H 0.6296 0.4488 0.5000
H 0.5013 0.2250 0.5000
Se 0.8969 0.0007 0.0000

The calculation puts the total magnetization at 0.00 Bohr magnetons per cell. The calculation puts the relative energy among the computed polymorphs at 0 meV per atom.

=====

This record from Alexandria describes NiHSe after structural relaxation. The functional is PBE.

Lattice parameters (Å, degrees): 2.7801 4.7661 6.3221 83.65 102.70 90.00
Positions (direct):
Ni 0.0000 0.5000 0.0000
Ni 0.5000 0.0000 0.0000
H 0.0536 0.8117 0.1072
H 0.9464 0.1883 0.8928
Se 0.3535 0.7274 0.7071
Se 0.6465 0.2726 0.2929

The calculation puts the total magnetization at 0.00 Bohr magnetons per cell. The total energy comes out at -0.158 hartree per atom.